No. 1
Computed, not measured: crystalline LaAlHg at its relaxed geometry at the PBE-GGA level of DFT.

The structure in POSCAR format:
```
LaAlHg
1.0
4.7889 0.0000 0.0000
-2.3944 4.1473 0.0000
0.0000 0.0000 3.8695
Al Hg La
1 1 1
Direct
0.0000 0.0000 0.1667
0.6667 0.3333 0.1667
0.3333 0.6667 0.6666
```

E_form (meV per atom): -476
Symmetry: P-6m2 (187)


No. 2
Computed, not measured: crystalline EuTlInCu at its relaxed geometry at the PBE-GGA level of DFT.

The structure in POSCAR format:
```
EuTlInCu
1.0
-2.9395 4.2365 -0.1141
-1.8124 2.0004 4.3949
1.8612 4.4783 1.7556
Eu Tl Cu In
1 1 1 1
Direct
0.0000 0.0000 0.0000
0.7500 0.7500 0.7500
0.2500 0.2500 0.2500
0.5000 0.5000 0.5000
```

E_form (meV per atom): -141
Symmetry: F-43m (216)


No. 3
Computed, not measured: crystalline RbPtF2 at its relaxed geometry at the PBE-GGA level of DFT.

The structure in POSCAR format:
```
RbPtF2
1.0
4.9426 0.0000 0.0000
0.0000 4.9426 0.0000
2.4713 2.4713 7.0989
Rb Pt F
2 2 4
Direct
0.5000 0.5000 0.0000
0.2500 0.7500 0.5000
0.0000 0.0000 0.0000
0.7500 0.2500 0.5000
0.7508 0.1250 0.2500
0.9992 0.6250 0.2500
0.3750 0.2492 0.7500
0.8750 0.0008 0.7500
```

E_form (uncorrected) (meV per atom): -1049
Excess energy over the best structure of this formula in the dataset (eV per atom): 0.328
Symmetry: I-42d (122)


No. 4
Computed, not measured: crystalline Ca2LaIrI at its relaxed geometry at the PBE-GGA level of DFT.

The structure in POSCAR format:
```
Ca2LaIrI
1.0
-2.8263 -0.8621 -4.8868
3.3447 -4.4853 -1.1431
-3.4862 -3.2601 2.5913
I Ca Ir La
1 2 1 1
Direct
0.5000 0.5000 0.5000
0.0000 0.5000 0.0000
0.5000 0.0000 0.0000
0.0000 0.0000 0.0000
0.0000 0.0000 0.5000
```

E_form (uncorrected) (meV per atom): -579
Symmetry: P4/mmm (123)


No. 5
Computed, not measured: crystalline MgSn2Ge at its relaxed geometry at the PBE-GGA level of DFT.

The structure in POSCAR format:
```
MgSn2Ge
1.0
3.2827 0.0000 0.0000
1.6414 2.8429 0.0000
1.6414 0.9476 11.0807
Mg Ge Sn
1 1 2
Direct
0.0000 0.0000 0.0000
0.5000 0.5000 0.5000
0.0923 0.0923 0.7232
0.9077 0.9077 0.2768
```

E_form (meV per atom): 180
Excess energy over the best structure of this formula in the dataset (eV per atom): 0.141
Symmetry: R-3m (166)


No. 6
Computed, not measured: crystalline CuRh2W at its relaxed geometry at the PBE-GGA level of DFT.

The structure in POSCAR format:
```
CuRh2W
1.0
-2.5793 1.9360 -3.3032
-2.9611 -1.3223 3.2855
0.2704 2.4773 1.2408
Cu Rh W
1 2 1
Direct
0.0000 0.5000 0.5000
0.0000 0.0000 0.0000
0.5000 0.5000 0.0000
0.5000 0.0000 0.5000
```

E_form (meV per atom): 3
Excess energy over the best structure of this formula in the dataset (eV per atom): 0.151
Symmetry: Cmmm (65)


No. 7
Computed, not measured: crystalline Li2Ca5Pb5 at its relaxed geometry at the PBE-GGA level of DFT.

The structure in POSCAR format:
```
Li2Ca5Pb5
1.0
4.7879 0.0000 1.1786
2.0702 8.3327 1.9044
0.3337 1.0074 8.9589
Li Ca Pb
2 5 5
Direct
0.8417 0.6313 0.6854
0.1583 0.3687 0.3146
0.5000 0.5000 0.5000
0.3654 0.3255 0.9437
0.3438 0.9708 0.3416
0.6562 0.0292 0.6584
0.6346 0.6745 0.0563
0.9800 0.7139 0.3260
0.2446 0.7476 0.7631
0.7554 0.2524 0.2369
0.0200 0.2861 0.6740
0.0000 0.0000 0.0000
```

E_form (meV per atom): -449
Symmetry: C2/m (12)


No. 8
Computed, not measured: crystalline LiY2Ho at its relaxed geometry at the PBE-GGA level of DFT.

The structure in POSCAR format:
```
LiY2Ho
1.0
-2.8648 -1.7954 -1.2736
1.7500 -3.1256 0.4698
-3.2589 -0.5965 8.1712
Y Ho Li
2 1 1
Direct
0.0000 0.0000 0.7770
0.0000 0.0000 0.2230
0.5000 0.5000 0.5000
0.5000 0.5000 0.0000
```

E_form (meV per atom): 61
Excess energy over the best structure of this formula in the dataset (eV per atom): 0.000
Symmetry: P4/mmm (123)


Q: Which magnetic moment values were calculated for the entries above? A: 0.0, 7.0, 1.0, 0.0, 0.0, 0.0, 0.0, 0.0, in μB/f.u..
Q: Which E_tot values were calculated for the entries above? A: -10.40, -20.04, -29.89, -22.24, -13.50, -31.74, -37.76, -19.17, in eV per cell.